Record 1
GdAgHgAu: optimized geometry, GGA-PBE.

```
GdAgHgAu
1.0
0.0000 3.5315 3.5315
3.5315 0.0000 3.5315
3.5315 3.5315 0.0000
Gd Ag Hg Au
1 1 1 1
direct
0.0000 0.0000 0.0000
0.5000 0.5000 0.5000
0.7500 0.7500 0.7500
0.2500 0.2500 0.2500
```

Properties
* SG: F-43m, No. 216
* ΔH_f (0 K): -1.8 eV/f.u.
* magnetization: 7.4 μB/f.u.
* energy: -5.5731 eV per atom

Record 2
Al2SbTe: optimized geometry, GGA-PBE.

```
Al2SbTe
1.0
-1.8115 2.2908 5.7356
1.8115 -2.2908 5.7356
1.8115 2.2908 -5.7356
Al Sb Te
2 1 1
direct
0.0000 0.0000 0.0000
0.7976 0.2976 0.5000
0.5936 0.5936 0.0000
0.3165 0.8165 0.5000
```

Properties
* E_form (uncorrected): 0.16 eV/atom
* SG: Imm2, No. 44
* magnetization: 0.0 μB/f.u.
* E above lowest polymorph: 6.15 kcal/mol of atoms
* energy: -3.5298 eV per atom

Record 3
Cu12Si3Ge: optimized geometry, GGA-PBE.

```
Cu12Si3Ge
1.0
3.6932 0.0000 0.0000
0.0000 3.6932 0.0000
0.0000 0.0000 14.4042
Cu Si Ge
12 3 1
direct
0.0000 0.0000 0.0000
0.0000 0.0000 0.2464
0.0000 0.0000 0.5000
0.0000 0.0000 0.7536
0.0000 0.5000 0.1233
0.0000 0.5000 0.3692
0.0000 0.5000 0.6308
0.0000 0.5000 0.8767
0.5000 0.0000 0.1233
0.5000 0.0000 0.3692
0.5000 0.0000 0.6308
0.5000 0.0000 0.8767
0.5000 0.5000 0.0000
0.5000 0.5000 0.2474
0.5000 0.5000 0.7526
0.5000 0.5000 0.5000
```

Properties
* E_form (uncorrected): -0.03 eV/atom
* SG: P4/mmm, No. 123
* magnetization: 0.0 μB/f.u.
* energy: -4.4062 eV per atom